Here is Ho2FePt9 after structural relaxation from Alexandria via LeMat-Bulk. Energies are from PBE.

The energy of formation from the pure elements comes out at -0.759 eV per atom.

The space group is P4/mmm (No. 123) and the conventional cell measures 4.061, 4.061 and 12.088 Å, with angles of 90.00, 90.00 and 90.00 degrees. The asymmetric unit holds Ho at (0.000, 0.000, 0.171), Fe at (0.000, 0.000, 0.500), Pt at (0.000, 0.500, 0.000), Pt at (0.000, 0.500, 0.347), Pt at (0.500, 0.500, 0.173) and Pt at (0.500, 0.500, 0.500).

Here is Ho2FeSi3Pt4 after structural relaxation from Alexandria via LeMat-Bulk. Energies are from PBE.

The value obtained for the formation energy (no corrections) is -9.76 eV/f.u.

The space group is P-4m2 (No. 115) and the conventional cell measures 4.148, 4.148 and 10.081 Å, with angles of 90.00, 90.00 and 90.00 degrees. The asymmetric unit holds Ho at (0.000, 0.500, 0.245), Fe at (0.500, 0.500, 0.000), Si at (0.000, 0.000, 0.000), Si at (0.000, 0.500, 0.635), Pt at (0.000, 0.000, 0.500), Pt at (0.000, 0.500, 0.867) and Pt at (0.500, 0.500, 0.500).

The calculation returns the following raw total energy values, one per record and in order: -6.7579, -6.7815 eV per atom.
The calculation returns the following mass density values, one per record and in order: 17.841, 11.969 g/cm³.